# MoPNO2

A geometry-optimized MoPNO2 structure (GGA+U, Alexandria via LeMat-Bulk).

abc: 3.815 3.815 3.706
angles: 90.00 90.00 90.00
Positions (direct):
Mo 0.500 0.500 0.500
P 0.000 0.000 0.500
O 0.000 0.500 0.000
O 0.500 0.000 0.000
N 0.000 0.000 0.000

Computed properties:
Volume: 53.9 Å³/cell
N(E_F): 2.4 states/eV/f.u.
Crystal system: tetragonal
Total energy: -0.1921 hartree per atom
Space group: P4/mmm (123)